# TiMn2F8

TiMn2F8 after structural relaxation (GGA+U, Alexandria).

## Properties
**Spin magnetization**: 0.9091 μB per atom
**ΔE to the lowest computed polymorph**: 0 meV per atom
**Uncorrected energy**: -6.41 eV per atom
**Volume**: 141.3 Å³/f.u.

Cell lengths 5.815, 5.815, 4.428 Å; angles 98.82, 98.82, 74.12 degrees
Positions (direct):
Ti 0.000 0.000 0.000
Mn 0.363 0.363 0.694
Mn 0.637 0.637 0.306
F 0.083 0.695 0.759
F 0.144 0.144 0.756
F 0.305 0.917 0.241
F 0.404 0.404 0.225
F 0.596 0.596 0.775
F 0.695 0.083 0.759
F 0.856 0.856 0.244
F 0.917 0.305 0.241